VASP calculation (GGA-PBE) on a relaxed ReAu3 crystal.

Energy relative to the elements (eV/atom): 1.536
Final energy (eV per cell): -16.14
Magnetization (μB per formula unit): 0.00

Cell: 5.061 5.061 5.061 Å, 90.00 90.00 90.00°
Element x y z (fractional)
Re  0.000  0.000  0.000
Au  0.000  0.000  0.500
Au  0.000  0.500  0.000
Au  0.500  0.000  0.000